A plane-wave DFT calculation with PBE was carried out for crystalline Y2HoHgO at its relaxed geometry.

Calculated values
calculated total energy: -5.952 eV per atom
Fermi-level density of states: 0.50 states/eV/atom
V: 108.2 Å³ per cell
energy relative to the elements, uncorrected: -1.3984 eV per atom

Geometry as CIF:
```
data_Y2HoHgO
_space_group_name_H-M_alt 'P 4/m m m'
_space_group_IT_number 123
_space_group_name_Hall '-P 4 2'
_cell_length_a 4.7791
_cell_length_b 4.7791
_cell_length_c 4.7356
_cell_angle_alpha 90.00
_cell_angle_beta 90.00
_cell_angle_gamma 90.00
loop_
_atom_site_label
_atom_site_type_symbol
_atom_site_fract_x
_atom_site_fract_y
_atom_site_fract_z
_atom_site_occupancy
Y1 Y 0.0000 0.5000 0.0000 1
Ho1 Ho 0.0000 0.0000 0.5000 1
Hg1 Hg 0.5000 0.5000 0.5000 1
O1 O 0.0000 0.0000 0.0000 1
```

A plane-wave DFT calculation with PBE was carried out for crystalline Ho5Hg2Os at its relaxed geometry.

Calculated values
calculated total energy: -4.709 eV per atom
Fermi-level density of states: 0.85 states/eV/atom
V: 412.5 Å³ per cell
formation energy: -0.369 eV/atom

Geometry as CIF:
```
data_Ho5Hg2Os
_space_group_name_H-M_alt 'P b a m'
_space_group_IT_number 55
_space_group_name_Hall '-P 2 2ab'
_cell_length_a 6.9544
_cell_length_b 12.0970
_cell_length_c 4.9034
_cell_angle_alpha 90.00
_cell_angle_beta 90.00
_cell_angle_gamma 90.00
loop_
_atom_site_label
_atom_site_type_symbol
_atom_site_fract_x
_atom_site_fract_y
_atom_site_fract_z
_atom_site_occupancy
Ho1 Ho 0.0000 0.0000 0.0000 1
Ho2 Ho 0.1382 0.2914 0.0000 1
Ho3 Ho 0.1718 0.5871 0.5000 1
Hg1 Hg 0.0902 0.8412 0.5000 1
Os1 Os 0.0000 0.5000 0.0000 1
```

A plane-wave DFT calculation with PBE was carried out for crystalline Ho2HgOs at its relaxed geometry.

Calculated values
calculated total energy: -5.573 eV per atom
Fermi-level density of states: 0.74 states/eV/atom
V: 90.0 Å³ per cell
ΔE to the lowest computed polymorph: 0 meV per atom
formation energy: -0.402 eV/atom

Geometry as CIF:
```
data_Ho2HgOs
_space_group_name_H-M_alt 'P 4/m m m'
_space_group_IT_number 123
_space_group_name_Hall '-P 4 2'
_cell_length_a 3.4397
_cell_length_b 3.4397
_cell_length_c 7.6087
_cell_angle_alpha 90.00
_cell_angle_beta 90.00
_cell_angle_gamma 90.00
loop_
_atom_site_label
_atom_site_type_symbol
_atom_site_fract_x
_atom_site_fract_y
_atom_site_fract_z
_atom_site_occupancy
Ho1 Ho 0.0000 0.0000 0.2174 1
Hg1 Hg 0.5000 0.5000 0.5000 1
Os1 Os 0.5000 0.5000 0.0000 1
```

A plane-wave DFT calculation with PBE was carried out for crystalline Ho8HgOs2 at its relaxed geometry.

Calculated values
calculated total energy: -5.615 eV per atom
Fermi-level density of states: 0.89 states/eV/atom
V: 597.8 Å³ per cell
formation energy: -0.217 eV/atom

Geometry as CIF:
```
data_Ho8HgOs2
_space_group_name_H-M_alt 'C 1 m 1'
_space_group_IT_number 8
_space_group_name_Hall 'C -2y'
_cell_length_a 8.6911
_cell_length_b 12.9231
_cell_length_c 5.4849
_cell_angle_alpha 90.00
_cell_angle_beta 103.96
_cell_angle_gamma 90.00
loop_
_atom_site_label
_atom_site_type_symbol
_atom_site_fract_x
_atom_site_fract_y
_atom_site_fract_z
_atom_site_occupancy
Ho1 Ho 0.0000 0.0000 0.0000 1
Ho2 Ho 0.0766 0.3665 0.7839 1
Ho3 Ho 0.1820 0.1337 0.6144 1
Ho4 Ho 0.2605 0.5000 0.3998 1
Ho5 Ho 0.3790 0.2449 0.1994 1
Hg1 Hg 0.3805 0.0000 0.1978 1
Os1 Os 0.3797 0.3146 0.7000 1
```

A plane-wave DFT calculation with PBE was carried out for crystalline Ho2HgOs at its relaxed geometry.

Calculated values
calculated total energy: -5.450 eV per atom
Fermi-level density of states: 0.89 states/eV/atom
V: 352.0 Å³ per cell
ΔE to the lowest computed polymorph: 123 meV per atom
formation energy: -0.279 eV/atom

Geometry as CIF:
```
data_Ho2HgOs
_space_group_name_H-M_alt 'F m -3 m'
_space_group_IT_number 225
_space_group_name_Hall '-F 4 2 3'
_cell_length_a 7.0605
_cell_length_b 7.0605
_cell_length_c 7.0605
_cell_angle_alpha 90.00
_cell_angle_beta 90.00
_cell_angle_gamma 90.00
loop_
_atom_site_label
_atom_site_type_symbol
_atom_site_fract_x
_atom_site_fract_y
_atom_site_fract_z
_atom_site_occupancy
Ho1 Ho 0.2500 0.2500 0.2500 1
Hg1 Hg 0.0000 0.0000 0.0000 1
Os1 Os 0.0000 0.0000 0.5000 1
```

A plane-wave DFT calculation with PBE was carried out for crystalline Ho8Hg2Os at its relaxed geometry.

Calculated values
calculated total energy: -4.667 eV per atom
Fermi-level density of states: 0.73 states/eV/atom
V: 595.6 Å³ per cell
formation energy: -0.262 eV/atom

Geometry as CIF:
```
data_Ho8Hg2Os
_space_group_name_H-M_alt 'C 1 2/m 1'
_space_group_IT_number 12
_space_group_name_Hall '-C 2y'
_cell_length_a 17.5946
_cell_length_b 5.2071
_cell_length_c 6.8708
_cell_angle_alpha 90.00
_cell_angle_beta 108.88
_cell_angle_gamma 90.00
loop_
_atom_site_label
_atom_site_type_symbol
_atom_site_fract_x
_atom_site_fract_y
_atom_site_fract_z
_atom_site_occupancy
Ho1 Ho 0.0229 0.0000 0.2919 1
Ho2 Ho 0.0899 0.5000 0.9268 1
Ho3 Ho 0.1545 0.5000 0.4596 1
Ho4 Ho 0.1985 0.0000 0.8011 1
Hg1 Hg 0.1827 0.0000 0.2145 1
Os1 Os 0.0000 0.5000 0.5000 1
```

A plane-wave DFT calculation with PBE was carried out for crystalline Ho6HgOs2 at its relaxed geometry.

Calculated values
calculated total energy: -5.885 eV per atom
Fermi-level density of states: 1.03 states/eV/atom
V: 918.8 Å³ per cell
formation energy: -0.305 eV/atom

Geometry as CIF:
```
data_Ho6HgOs2
_space_group_name_H-M_alt 'I m m m'
_space_group_IT_number 71
_space_group_name_Hall '-I 2 2'
_cell_length_a 9.3780
_cell_length_b 9.4006
_cell_length_c 10.4223
_cell_angle_alpha 90.00
_cell_angle_beta 90.00
_cell_angle_gamma 90.00
loop_
_atom_site_label
_atom_site_type_symbol
_atom_site_fract_x
_atom_site_fract_y
_atom_site_fract_z
_atom_site_occupancy
Ho1 Ho 0.0000 0.1857 0.1687 1
Ho2 Ho 0.1837 0.2200 0.5000 1
Ho3 Ho 0.2036 0.5000 0.2558 1
Hg1 Hg 0.0000 0.5000 0.0000 1
Hg2 Hg 0.0000 0.5000 0.5000 1
Os1 Os 0.0000 0.0000 0.3787 1
Os2 Os 0.1722 0.0000 0.0000 1
```

A plane-wave DFT calculation with PBE was carried out for crystalline HoPaHgOs at its relaxed geometry.

Calculated values
calculated total energy: -6.470 eV per atom
Fermi-level density of states: 1.21 states/eV/atom
V: 360.0 Å³ per cell
formation energy: -0.068 eV/atom

Geometry as CIF:
```
data_HoPaHgOs
_space_group_name_H-M_alt 'F -4 3 m'
_space_group_IT_number 216
_space_group_name_Hall 'F -4 2 3'
_cell_length_a 7.1138
_cell_length_b 7.1138
_cell_length_c 7.1138
_cell_angle_alpha 90.00
_cell_angle_beta 90.00
_cell_angle_gamma 90.00
loop_
_atom_site_label
_atom_site_type_symbol
_atom_site_fract_x
_atom_site_fract_y
_atom_site_fract_z
_atom_site_occupancy
Ho1 Ho 0.0000 0.0000 0.0000 1
Pa1 Pa 0.0000 0.0000 0.5000 1
Hg1 Hg 0.2500 0.2500 0.2500 1
Os1 Os 0.2500 0.2500 0.7500 1
```